(1)
First-principles (GGA-PBE) data for a geometry-optimized Ta2NbGaS structure, as listed in the Alexandria database.

As for the energy: -6.779 eV per atom. The calculation puts the calculated density at 9.0 g cm⁻³. The formation energy (no corrections) is 1407 meV/atom. For the density of states at the Fermi level, the calculation gives 1.142 states/eV per atom.

The structure belongs to space group P4/mmm (No. 123); the cell edges are 4.8652, 4.8652 and 4.3519 Å and the angles 90.00°, 90.00° and 90.00°. The distinct sites, in fractional coordinates, are Ta at (0.0000, 0.5000, 0.0000), Nb at (0.0000, 0.0000, 0.5000), Ga at (0.5000, 0.5000, 0.0000) and S at (0.5000, 0.5000, 0.5000).


(2)
First-principles (GGA-PBE) data for a geometry-optimized Th2SnPb structure, as listed in the Alexandria database.

As for the energy of formation from the pure elements: -0.376 eV per atom. As for the energy: -6.014 eV per atom. For the energy relative to the lowest polymorph listed for this composition, the calculation gives 0.020 eV per atom. The calculation puts the calculated density at 9.8 g cm⁻³. For the density of states at the Fermi level, the calculation gives 0.424 states/eV per atom.

The structure belongs to space group R-3m (No. 166, hexagonal axes); the cell edges are 4.5580, 4.5580 and 22.3046 Å and the angles 90.00°, 90.00° and 120.00°. The distinct sites, in fractional coordinates, are Th at (0.0000, 0.0000, 0.2487), Sn at (0.0000, 0.0000, 0.5000) and Pb at (0.0000, 0.0000, 0.0000).


(3)
First-principles (GGA-PBE) data for a geometry-optimized ErTaMo4 structure, as listed in the Alexandria database.

As for the energy of formation from the pure elements: 0.041 eV per atom. As for the energy: -9.916 eV per atom. The calculation puts the calculated density at 11.1 g cm⁻³. For the density of states at the Fermi level, the calculation gives 0.733 states/eV per atom.

The structure belongs to space group F-43m (No. 216); the cell edges are 7.5989, 7.5989 and 7.5989 Å and the angles 90.00°, 90.00° and 90.00°. The distinct sites, in fractional coordinates, are Er at (0.0000, 0.0000, 0.0000), Ta at (0.2500, 0.2500, 0.7500) and Mo at (0.1249, 0.1249, 0.3751).